## Te7Os (PBE)

Data for crystalline Te7Os at its relaxed geometry.

The structure in POSCAR format:
```
Te7Os
1.0
2.817 -5.661 -1.933
-1.949 -2.918 -5.604
4.009 -0.071 -5.258
Te Os
7 1
Direct
0.000 0.000 0.500 Te
0.500 0.500 0.000 Te
0.500 0.000 0.500 Te
0.500 0.000 0.000 Te
0.000 0.500 0.000 Te
0.000 0.500 0.500 Te
0.500 0.500 0.500 Te
0.000 0.000 0.000 Os
```

Values from the calculation:
calculated total energy = -3.2850 eV per atom
E_form (uncorrected) = 868 meV per atom
calculated volume = 204 Å³ per cell
calculated density = 8.80 Mg/m³
SG = No. 225

=====

## Sc2InHOs (PBE)

Data for crystalline Sc2InHOs at its relaxed geometry.

The structure in POSCAR format:
```
Sc2InHOs
1.0
-2.585 3.311 1.949
0.858 -1.792 4.183
2.971 2.139 0.307
H Os In Sc
1 1 1 2
Direct
0.000 0.000 0.000 H
0.000 0.000 0.500 Os
0.500 0.500 0.500 In
0.500 0.000 0.000 Sc
0.000 0.500 0.000 Sc
```

Values from the calculation:
calculated total energy = -6.3843 eV per atom
calculated volume = 79 Å³ per cell
calculated density = 8.35 Mg/m³
SG = No. 123

=====

## Fe3NiPd (PBE)

Data for crystalline Fe3NiPd at its relaxed geometry.

The structure in POSCAR format:
```
Fe3NiPd
1.0
-4.179 1.603 -0.979
-1.876 -3.678 1.985
-0.092 2.211 4.011
Ni Fe Pd
1 3 1
Direct
0.500 0.500 0.500 Ni
0.500 0.000 0.000 Fe
0.000 0.000 0.500 Fe
0.000 0.500 0.000 Fe
0.000 0.000 0.000 Pd
```

Values from the calculation:
calculated total energy = -5.7906 eV per atom
calculated volume = 96 Å³ per cell
E_form = 1.48 eV/atom
calculated density = 5.74 Mg/m³
SG = No. 221

=====

## InSb2Ru (PBE)

Data for crystalline InSb2Ru at its relaxed geometry.

The structure in POSCAR format:
```
InSb2Ru
1.0
-3.246 0.460 0.160
-0.186 -2.161 2.464
1.146 6.177 5.505
Sb Ru In
2 1 1
Direct
0.000 0.000 0.945 Sb
0.000 0.000 0.555 Sb
0.500 0.500 0.750 Ru
0.500 0.500 0.250 In
```

Values from the calculation:
calculated total energy = -5.0618 eV per atom
E_form (uncorrected) = 3 meV per atom
calculated volume = 90 Å³ per cell
calculated density = 8.47 Mg/m³
SG = No. 123